# 1
DFT (PBE) results for an optimized crystal structure of CrInTcN.

Cell: 3.0046 3.0046 22.8589 Å, 90.00 90.00 120.00°
Last column: nearest neighbours and their distance in Å.
Fractional positions:
Cr  0.0000  0.0000  0.0120  3 N 1.87
Cr  0.3333  0.6667  0.6787  3 N 1.87
Cr  0.6667  0.3333  0.3453  3 N 1.87
N  0.0000  0.0000  0.3754  3 Cr 1.87
N  0.3333  0.6667  0.0421  3 Cr 1.87
N  0.6667  0.3333  0.7087  3 Cr 1.87
Tc  0.0000  0.0000  0.9188  1 Cr 2.13
Tc  0.3333  0.6667  0.5855  1 Cr 2.13
Tc  0.6667  0.3333  0.2522  1 Cr 2.13
In  0.0000  0.0000  0.4802  1 N 2.40
In  0.3333  0.6667  0.1469  1 N 2.40
In  0.6667  0.3333  0.8135  1 N 2.40

Calculated values
energy	-7.63	eV per atom
energy relative to the lowest polymorph listed for this composition	167	meV per atom
space group	No. 160
E_form (uncorrected)	134.0	meV/atom

---

# 2
DFT (PBE) results for an optimized crystal structure of CrInTcN.

Cell: 7.3483 3.0408 5.6165 Å, 90.00 110.59 90.00°
Last column: nearest neighbours and their distance in Å.
Fractional positions:
Cr  0.7768  0.0000  0.4700  3 N 1.81-1.82
Cr  0.7768  0.5000  0.9700  3 N 1.81-1.82
In  0.1636  0.0000  0.1943  3 Tc 2.87-2.89, 1 N 2.90, 6 In 3.04-3.19, 2 Cr 3.08
In  0.1636  0.5000  0.6943  3 Tc 2.87-2.89, 1 N 2.90, 6 In 3.04-3.19, 2 Cr 3.08
Tc  0.4893  0.0000  0.6648  1 N 2.02
Tc  0.4893  0.5000  0.1648  1 N 2.02
N  0.7828  0.0000  0.7970  3 Cr 1.81-1.82, 1 Tc 2.02
N  0.7828  0.5000  0.2970  3 Cr 1.81-1.82, 1 Tc 2.02

Calculated values
energy	-7.75	eV per atom
energy relative to the lowest polymorph listed for this composition	42	meV per atom
space group	No. 8
E_form (uncorrected)	8.7	meV/atom

---

# 3
DFT (PBE) results for an optimized crystal structure of CrInTcN.

Cell: 4.8452 3.0181 4.7274 Å, 90.00 95.63 90.00°
Last column: nearest neighbours and their distance in Å.
Fractional positions:
Cr  0.5851  0.5000  0.3388  1 N 1.82
In  0.4684  0.0000  0.8403  4 Cr 2.81-2.91, 2 Tc 2.84-2.91, 2 In 3.02
Tc  0.1298  0.0000  0.3154  2 N 1.91
N  0.9531  0.5000  0.4656  1 Cr 1.82, 2 Tc 1.91

Calculated values
energy	-7.39	eV per atom
energy relative to the lowest polymorph listed for this composition	408	meV per atom
space group	No. 6
E_form (uncorrected)	374.7	meV/atom